Run a
# PBE Pu4Co, optimized geometry
# * crystal system: cubic
data_Pu4Co
_symmetry_space_group_name_H-M 'P 1'
_symmetry_Int_Tables_number 1
_symmetry_space_group_name_Hall 'P 1'
_cell_length_a 5.140
_cell_length_b 5.140
_cell_length_c 5.140
_cell_angle_alpha 90.00
_cell_angle_beta 90.00
_cell_angle_gamma 90.00
loop_
_atom_site_label
_atom_site_fract_x
_atom_site_fract_y
_atom_site_fract_z
_atom_site_occupancy
Pu1 0.000 0.000 0.000 1
Pu2 0.500 0.000 0.500 1
Pu3 0.000 0.500 0.500 1
Pu4 0.500 0.500 0.000 1
Co1 0.500 0.500 0.500 1

=====

Run b
# PBE Pu4Co, optimized geometry
# * crystal system: cubic
data_Pu4Co
_symmetry_space_group_name_H-M 'P 1'
_symmetry_Int_Tables_number 1
_symmetry_space_group_name_Hall 'P 1'
_cell_length_a 7.097
_cell_length_b 7.097
_cell_length_c 7.097
_cell_angle_alpha 60.00
_cell_angle_beta 60.00
_cell_angle_gamma 60.00
loop_
_atom_site_label
_atom_site_fract_x
_atom_site_fract_y
_atom_site_fract_z
_atom_site_occupancy
Pu1 0.922 0.359 0.359 1
Pu2 0.359 0.922 0.359 1
Pu3 0.891 0.891 0.328 1
Pu4 0.891 0.328 0.891 1
Pu5 0.359 0.359 0.359 1
Pu6 0.891 0.891 0.891 1
Pu7 0.359 0.359 0.922 1
Pu8 0.328 0.891 0.891 1
Co1 0.500 0.500 0.500 1
Co2 0.750 0.750 0.750 1

=====

Which structure is the least stable? The one labeled run b.

=====

Run a
# PBE PuCoRe, optimized geometry
# * crystal system: tetragonal
data_PuCoRe
_symmetry_space_group_name_H-M 'P 1'
_symmetry_Int_Tables_number 1
_symmetry_space_group_name_Hall 'P 1'
_cell_length_a 4.193
_cell_length_b 4.193
_cell_length_c 5.849
_cell_angle_alpha 90.00
_cell_angle_beta 90.00
_cell_angle_gamma 90.00
loop_
_atom_site_label
_atom_site_fract_x
_atom_site_fract_y
_atom_site_fract_z
_atom_site_occupancy
Re1 0.500 0.500 0.500 1
Re2 0.000 0.000 0.500 1
Pu1 0.500 0.000 0.151 1
Pu2 0.000 0.500 0.849 1
Co1 0.000 0.500 0.261 1
Co2 0.500 0.000 0.739 1

=====

Run b
# PBE PuCoRe, optimized geometry
# * crystal system: orthorhombic
data_PuCoRe
_symmetry_space_group_name_H-M 'P 1'
_symmetry_Int_Tables_number 1
_symmetry_space_group_name_Hall 'P 1'
_cell_length_a 5.277
_cell_length_b 5.228
_cell_length_c 5.228
_cell_angle_alpha 58.32
_cell_angle_beta 59.69
_cell_angle_gamma 59.69
loop_
_atom_site_label
_atom_site_fract_x
_atom_site_fract_y
_atom_site_fract_z
_atom_site_occupancy
Re1 0.500 0.000 0.500 1
Re2 0.500 0.500 0.000 1
Co1 0.000 0.000 0.000 1
Co2 0.500 0.000 0.000 1
Pu1 0.119 0.631 0.631 1
Pu2 0.881 0.369 0.369 1

=====

Which structure is the least stable? The one labeled run a.

=====

Run a
# PBE PuCoSb2, optimized geometry
# * crystal system: trigonal
data_PuCoSb2
_symmetry_space_group_name_H-M 'P 1'
_symmetry_Int_Tables_number 1
_symmetry_space_group_name_Hall 'P 1'
_cell_length_a 3.363
_cell_length_b 3.363
_cell_length_c 9.985
_cell_angle_alpha 80.30
_cell_angle_beta 80.30
_cell_angle_gamma 60.00
loop_
_atom_site_label
_atom_site_fract_x
_atom_site_fract_y
_atom_site_fract_z
_atom_site_occupancy
Sb1 0.891 0.891 0.327 1
Sb2 0.109 0.109 0.673 1
Co1 0.500 0.500 0.500 1
Pu1 0.000 0.000 0.000 1

=====

Run b
# PBE PuCoSb2, optimized geometry
# * crystal system: orthorhombic
data_PuCoSb2
_symmetry_space_group_name_H-M 'P 1'
_symmetry_Int_Tables_number 1
_symmetry_space_group_name_Hall 'P 1'
_cell_length_a 4.485
_cell_length_b 7.402
_cell_length_c 10.805
_cell_angle_alpha 90.00
_cell_angle_beta 90.00
_cell_angle_gamma 90.00
loop_
_atom_site_label
_atom_site_fract_x
_atom_site_fract_y
_atom_site_fract_z
_atom_site_occupancy
Pu1 0.750 0.273 0.819 1
Pu2 0.250 0.227 0.319 1
Pu3 0.250 0.727 0.181 1
Pu4 0.750 0.773 0.681 1
Sb1 0.250 0.471 0.663 1
Sb2 0.250 0.847 0.478 1
Sb3 0.250 0.347 0.022 1
Sb4 0.750 0.029 0.163 1
Sb5 0.750 0.529 0.337 1
Sb6 0.250 0.971 0.837 1
Sb7 0.750 0.153 0.522 1
Sb8 0.750 0.653 0.978 1
Co1 0.750 0.372 0.126 1
Co2 0.250 0.628 0.874 1
Co3 0.750 0.872 0.374 1
Co4 0.250 0.128 0.626 1

=====

Which structure is the least stable? The one labeled run a.

=====

Run a
# PBE Pu3Co2Sb4, optimized geometry
# * crystal system: monoclinic
data_Pu3Co2Sb4
_symmetry_space_group_name_H-M 'P 1'
_symmetry_Int_Tables_number 1
_symmetry_space_group_name_Hall 'P 1'
_cell_length_a 4.451
_cell_length_b 6.054
_cell_length_c 8.626
_cell_angle_alpha 104.78
_cell_angle_beta 90.00
_cell_angle_gamma 111.57
loop_
_atom_site_label
_atom_site_fract_x
_atom_site_fract_y
_atom_site_fract_z
_atom_site_occupancy
Co1 0.299 0.599 0.592 1
Co2 0.701 0.401 0.408 1
Pu1 0.375 0.750 0.308 1
Pu2 0.625 0.250 0.692 1
Pu3 0.000 0.000 0.000 1
Sb1 0.703 0.406 0.104 1
Sb2 0.297 0.594 0.896 1
Sb3 0.911 0.821 0.615 1
Sb4 0.089 0.179 0.385 1

=====

Run b
# PBE Pu3Co2Sb4, optimized geometry
# * crystal system: monoclinic
data_Pu3Co2Sb4
_symmetry_space_group_name_H-M 'P 1'
_symmetry_Int_Tables_number 1
_symmetry_space_group_name_Hall 'P 1'
_cell_length_a 4.394
_cell_length_b 7.980
_cell_length_c 7.266
_cell_angle_alpha 117.73
_cell_angle_beta 90.00
_cell_angle_gamma 105.98
loop_
_atom_site_label
_atom_site_fract_x
_atom_site_fract_y
_atom_site_fract_z
_atom_site_occupancy
Co1 0.406 0.813 0.721 1
Co2 0.594 0.187 0.279 1
Sb1 0.905 0.810 0.508 1
Sb2 0.095 0.190 0.492 1
Sb3 0.621 0.242 0.931 1
Sb4 0.379 0.758 0.069 1
Pu1 0.240 0.480 0.280 1
Pu2 0.000 0.000 0.000 1
Pu3 0.760 0.520 0.720 1

=====

Which structure is the least stable? The one labeled run b.